Below is Sr2Cu3Ge4 after structural relaxation, with properties calculated at the GGA-PBE level.

Cell lengths 5.2967, 5.2967, 8.2064 Å; angles 101.58, 101.58, 112.23 degrees
Atoms (fractional coordinates):
Cu  0.5000  0.0000  0.0000
Cu  0.0000  0.5000  0.0000
Cu  0.0000  0.0000  0.0000
Sr  0.6609  0.6609  0.3218
Sr  0.3391  0.3391  0.6782
Ge  0.9794  0.2811  0.2606
Ge  0.7189  0.0206  0.7394
Ge  0.0206  0.7189  0.7394
Ge  0.2811  0.9794  0.2606

Its space-group type is Fmmm (69). The electronic total energy is -4.0047 eV per atom. The energy relative to the elements is -0.213 eV per atom.